Entry 1:
Density functional theory data (GGA-PBE) for an optimized crystal structure of SeS4Br.

```
SeS4Br
1.0
4.611 0.000 0.000
-1.453 5.634 0.000
-1.619 -1.926 9.134
Se S Br
1 4 1
Cartesian
0.000 0.000 0.000
-0.037 -0.668 8.180
1.721 -0.284 3.762
3.029 1.510 0.480
2.293 0.618 5.348
-0.766 3.353 4.224
```

Properties
- Crystal system: triclinic
- Spin magnetization: 1.0 μB per formula unit
- Formation energy (no corrections): 11.35 kJ/mol of atoms

=====

Entry 2:
Density functional theory data (GGA-PBE) for an optimized crystal structure of Er2NbPd9.

```
Er2NbPd9
1.0
4.052 0.000 0.000
0.000 4.052 0.000
0.000 0.000 12.204
Er Nb Pd
2 1 9
Cartesian
0.000 0.000 2.024
0.000 0.000 10.180
0.000 0.000 6.102
0.000 2.026 0.000
0.000 2.026 4.208
0.000 2.026 7.996
2.026 0.000 0.000
2.026 0.000 4.208
2.026 0.000 7.996
2.026 2.026 2.108
2.026 2.026 6.102
2.026 2.026 10.096
```

Properties
- Crystal system: tetragonal
- Calculated total energy: -6.262 eV/atom
- Spin magnetization: 0.0 μB per formula unit

=====

Entry 3:
Density functional theory data (GGA-PBE) for an optimized crystal structure of Cs2TmAuI6.

```
Cs2TmAuI6
1.0
8.403 0.000 0.000
-1.786 8.316 0.000
-3.319 -4.130 6.777
Cs Tm Au I
2 1 1 6
Cartesian
-0.007 0.019 3.373
3.304 4.167 3.404
-0.893 4.158 0.000
4.201 0.000 0.000
0.086 7.118 0.009
-0.899 4.157 3.000
1.748 2.857 0.005
1.550 1.329 6.772
4.197 0.029 3.778
3.212 -2.932 6.768
```

Properties
- Crystal system: triclinic
- Spin magnetization: 0.0 μB per formula unit
- Formation energy (no corrections): -112.42 kJ/mol of atoms

=====

Entry 4:
Density functional theory data (GGA-PBE) for an optimized crystal structure of LaErZr.

```
LaErZr
1.0
6.375 0.000 0.000
0.000 3.280 0.000
0.000 0.000 8.525
La Er Zr
2 2 2
Cartesian
1.594 0.000 1.158
4.781 0.000 7.367
0.000 0.000 4.262
3.188 0.000 4.262
1.594 1.640 6.700
4.781 1.640 1.825
```

Properties
- Excess energy over the best structure of this formula in the dataset: 0.153 eV/atom
- Crystal system: orthorhombic
- Spin magnetization: 0.0 μB per formula unit

=====

Entry 5:
Density functional theory data (GGA-PBE) for an optimized crystal structure of BaSr2LiCu.

```
BaSr2LiCu
1.0
6.051 0.000 0.000
0.000 6.051 0.000
0.000 0.000 6.224
Ba Sr Li Cu
1 2 1 1
Cartesian
0.000 0.000 0.000
0.000 3.025 3.112
3.025 0.000 3.112
3.025 3.025 0.000
0.000 0.000 3.112
```

Properties
- Excess energy over the best structure of this formula in the dataset: 0.000 eV/atom
- Crystal system: tetragonal
- Spin magnetization: 0.0 μB per formula unit

=====

Entry 6:
Density functional theory data (GGA-PBE) for an optimized crystal structure of Pm2HgGe3Pt4.

```
Pm2HgGe3Pt4
1.0
4.332 0.000 0.000
0.000 4.332 0.000
0.000 0.000 10.702
Pm Hg Ge Pt
2 1 3 4
Cartesian
0.000 2.166 2.630
2.166 0.000 8.073
0.000 0.000 5.351
0.000 2.166 9.381
2.166 0.000 1.321
2.166 2.166 5.351
0.000 0.000 0.000
0.000 2.166 6.982
2.166 0.000 3.720
2.166 2.166 0.000
```

Properties
- Crystal system: tetragonal
- Calculated total energy: -5.569 eV/atom
- Spin magnetization: 0.0 μB per formula unit

=====

Entry 7:
Density functional theory data (GGA-PBE) for an optimized crystal structure of Nd6C2Cl3F.

```
Nd6C2Cl3F
1.0
3.270 -5.677 0.000
3.270 5.677 0.000
-2.190 0.000 7.101
Nd C Cl F
6 2 3 1
Cartesian
-0.056 1.979 5.715
0.995 0.000 1.384
-0.056 -1.979 5.715
4.406 1.979 1.385
3.355 0.000 5.717
4.406 -1.979 1.385
3.270 3.792 0.000
3.270 -3.792 0.000
-1.095 0.000 3.550
2.175 1.929 3.550
2.175 -1.929 3.550
3.270 0.000 0.000
```

Properties
- Crystal system: monoclinic
- Spin magnetization: 0.0 μB per formula unit
- Formation energy (no corrections): -125.36 kJ/mol of atoms

=====

Entry 8:
Density functional theory data (GGA-PBE) for an optimized crystal structure of TcRu2Rh4.

```
TcRu2Rh4
1.0
2.161 -8.543 0.000
2.161 8.543 0.000
0.000 0.000 2.717
Tc Ru Rh
1 2 4
Cartesian
0.000 0.000 0.000
2.161 1.201 1.358
2.161 -1.201 1.358
2.161 5.974 1.358
2.161 3.490 0.000
2.161 -3.490 0.000
2.161 -5.974 1.358
```

Properties
- Excess energy over the best structure of this formula in the dataset: 0.000 eV/atom
- Crystal system: orthorhombic
- Spin magnetization: 0.0 μB per formula unit

=====

Entry 9:
Density functional theory data (GGA-PBE) for an optimized crystal structure of Ho5Si2Au.

```
Ho5Si2Au
1.0
-3.702 3.702 7.107
3.702 -3.702 7.107
3.702 3.702 -7.107
Ho Si Au
10 4 2
Cartesian
0.000 0.000 0.000
4.979 1.277 -2.023
1.277 2.425 -2.023
4.979 1.277 2.023
1.277 2.425 2.023
0.000 0.000 7.107
2.425 1.277 5.084
-1.277 2.425 5.084
2.425 1.277 9.130
-1.277 2.425 9.130
2.799 0.903 0.000
2.799 -0.903 7.107
0.903 4.605 0.000
0.903 2.799 7.107
0.000 0.000 3.553
0.000 0.000 10.660
```

Properties
- Crystal system: tetragonal
- Spin magnetization: 0.0 μB per formula unit
- Formation energy (no corrections): -65.91 kJ/mol of atoms

=====

Entry 10:
Density functional theory data (GGA-PBE) for an optimized crystal structure of RbRh2Se2.

```
RbRh2Se2
1.0
-2.352 2.352 5.166
2.352 -2.352 5.166
2.352 2.352 -5.166
Rb Rh Se
1 2 2
Cartesian
0.000 0.000 0.000
0.000 0.000 3.456
0.000 0.000 6.876
2.352 0.000 2.583
0.000 2.352 2.583
```

Properties
- Excess energy over the best structure of this formula in the dataset: 0.205 eV/atom
- Crystal system: tetragonal
- Spin magnetization: 0.0 μB per formula unit
- Formation energy (no corrections): -26.01 kJ/mol of atoms

=====

Entry 11:
Density functional theory data (GGA-PBE) for an optimized crystal structure of TiTeIr3.

```
TiTeIr3
1.0
4.647 0.000 0.000
0.000 4.647 0.000
0.000 0.000 4.647
Ti Te Ir
1 1 3
Cartesian
0.000 0.000 0.000
2.323 2.323 2.323
0.000 0.000 2.323
0.000 2.323 0.000
2.323 0.000 0.000
```

Properties
- Excess energy over the best structure of this formula in the dataset: 0.000 eV/atom
- Crystal system: cubic
- Spin magnetization: 0.0 μB per formula unit
- Formation energy (no corrections): 104.48 kJ/mol of atoms

=====

Entry 12:
Density functional theory data (GGA-PBE) for an optimized crystal structure of V2OsRh5.

```
V2OsRh5
1.0
5.398 0.000 0.000
0.000 10.806 0.000
0.000 0.000 3.808
V Os Rh
4 2 10
Cartesian
1.310 1.323 0.000
1.389 6.726 0.000
4.009 4.080 0.000
4.088 9.484 0.000
0.000 0.000 1.904
2.699 5.403 1.904
5.398 2.680 1.904
0.000 5.403 1.904
0.000 8.126 1.904
1.344 9.474 0.000
1.355 4.071 0.000
2.699 0.000 1.904
2.699 2.723 1.904
2.699 8.083 1.904
4.043 6.735 0.000
4.054 1.332 0.000
```

Properties
- Crystal system: orthorhombic
- Calculated total energy: -8.610 eV/atom
- Spin magnetization: 0.0 μB per formula unit

=====

no.,V (Å³/cell)
1,237.3
2,200.4
3,473.6
4,178.2
5,227.9
6,200.9
7,263.6
8,100.3
9,389.6
10,114.3
11,100.3
12,222.1